## InFePbF2 (PBE+U)

Data for a relaxed structure of InFePbF2.

* total magnetic moment: 3.2 μB/f.u.
* calculated volume: 108.8 Å³/cell
* uncorrected energy: -19.7 eV/cell
* DOS(E_F): 0.368 states/eV per atom

CIF file:
```
data_InFePbF2
_cell_length_a 4.363
_cell_length_b 4.363
_cell_length_c 5.717
_cell_angle_alpha 90.00
_cell_angle_beta 90.00
_cell_angle_gamma 90.00
_space_group_name_H-M_alt 'P 4/m m m'
_space_group_IT_number 123
_space_group_name_Hall '-P 4 2'
loop_
_atom_site_label
_atom_site_fract_x
_atom_site_fract_y
_atom_site_fract_z
_atom_site_occupancy
In1 0.000 0.000 0.000 1
Fe1 0.000 0.000 0.500 1
Pb1 0.500 0.500 0.500 1
F1 0.000 0.500 0.000 1
```